An optimized crystal structure of LiGaPt2. Source: OQMD via LeMat-Bulk, functional GGA-PBE.

abc: 4.3061 4.3061 8.0899
angles: 90.00 90.00 120.00
With the nearest neighbours (Å) after each atom.
Sites, in units of the cell vectors:
Li  0.3333  0.6667  0.2500  8 Pt 2.68-2.83
Li  0.6667  0.3333  0.7500  8 Pt 2.68-2.83
Ga  0.0000  0.0000  0.0000  6 Pt 2.57
Ga  0.0000  0.0000  0.5000  6 Pt 2.57
Pt  0.3333  0.6667  0.5817  3 Ga 2.57, 4 Li 2.68-2.83, 4 Pt 2.72-2.82
Pt  0.3333  0.6667  0.9183  3 Ga 2.57, 4 Li 2.68-2.83, 4 Pt 2.72-2.82
Pt  0.6667  0.3333  0.0817  3 Ga 2.57, 4 Li 2.68-2.83, 4 Pt 2.72-2.82
Pt  0.6667  0.3333  0.4183  3 Ga 2.57, 4 Li 2.68-2.83, 4 Pt 2.72-2.82

E ... -38.5 eV per cell
Total magnetic moment ... 0.020 μB/cell
Calculated density ... 11.934 g cm⁻³